one.
AlGeMo3: optimized geometry, PBE.

## Properties
As for the symmetry: Pm-3m (221). The density of states at the Fermi level is 6.6 states/eV/cell.

abc: 4.5989 4.5989 4.5989
angles: 90.00 90.00 90.00
Positions (direct):
Mo (0.0000, 0.5000, 0.0000)
Mo (0.0000, 0.0000, 0.5000)
Mo (0.5000, 0.0000, 0.0000)
Ge (0.0000, 0.0000, 0.0000)
Al (0.5000, 0.5000, 0.5000)

***

two.
AlGeMo3: optimized geometry, PBE.

## Properties
As for the symmetry: C2/c (15). The density of states at the Fermi level is 11.1 states/eV/cell.

abc: 7.2195 7.0126 7.0126
angles: 78.97 73.50 73.50
Positions (direct):
Al (0.2500, 0.9362, 0.0638)
Al (0.7500, 0.0638, 0.9362)
Al (0.2500, 0.4003, 0.5997)
Al (0.7500, 0.5997, 0.4003)
Ge (0.6649, 0.4442, 0.8493)
Ge (0.8351, 0.1507, 0.5558)
Ge (0.3351, 0.5558, 0.1507)
Ge (0.1649, 0.8493, 0.4442)
Mo (0.6289, 0.7366, 0.0569)
Mo (0.8711, 0.9431, 0.2634)
Mo (0.3711, 0.2634, 0.9431)
Mo (0.1289, 0.0569, 0.7366)
Mo (0.9691, 0.3225, 0.0011)
Mo (0.5309, 0.9989, 0.6775)
Mo (0.0309, 0.6775, 0.9989)
Mo (0.4691, 0.0011, 0.3225)
Mo (0.3907, 0.6815, 0.6997)
Mo (0.1093, 0.3003, 0.3185)
Mo (0.6093, 0.3185, 0.3003)
Mo (0.8907, 0.6997, 0.6815)

***

Stability order, top to bottom: two, one

***

one.
AlGeMo2: optimized geometry, PBE.

## Properties
As for the symmetry: Fm-3m (225). The density of states at the Fermi level is 4.1 states/eV/cell.

abc: 4.4190 4.4190 4.4190
angles: 60.00 60.00 60.00
Positions (direct):
Mo (0.2500, 0.2500, 0.2500)
Mo (0.7500, 0.7500, 0.7500)
Ge (0.5000, 0.5000, 0.5000)
Al (0.0000, 0.0000, 0.0000)

***

two.
AlGeMo2: optimized geometry, PBE.

## Properties
As for the symmetry: I-42d (122). The density of states at the Fermi level is 7.6 states/eV/cell.

abc: 6.9840 6.9840 5.6518
angles: 51.84 51.84 90.00
Positions (direct):
Mo (0.6438, 0.1250, 0.2500)
Mo (0.1062, 0.6250, 0.2500)
Mo (0.3750, 0.3562, 0.7500)
Mo (0.8750, 0.8938, 0.7500)
Ge (0.0000, 0.0000, 0.0000)
Ge (0.7500, 0.2500, 0.5000)
Al (0.5000, 0.5000, 0.0000)
Al (0.2500, 0.7500, 0.5000)

***

Stability order, top to bottom: one, two

***

one.
Al2GeMo2: optimized geometry, PBE.

## Properties
As for the symmetry: P4/mbm (127). The density of states at the Fermi level is 7.7 states/eV/cell.

abc: 6.6518 6.6518 3.7055
angles: 90.00 90.00 90.00
Positions (direct):
Mo (0.3438, 0.8438, 0.0000)
Mo (0.8438, 0.6562, 0.0000)
Mo (0.6562, 0.1562, 0.0000)
Mo (0.1562, 0.3438, 0.0000)
Ge (0.0000, 0.0000, 0.0000)
Ge (0.5000, 0.5000, 0.0000)
Al (0.1431, 0.6431, 0.5000)
Al (0.6431, 0.8569, 0.5000)
Al (0.8569, 0.3569, 0.5000)
Al (0.3569, 0.1431, 0.5000)

***

two.
Al2GeMo2: optimized geometry, PBE.

## Properties
As for the symmetry: P4/mbm (127). The density of states at the Fermi level is 4.8 states/eV/cell.

abc: 6.6312 6.6312 3.4889
angles: 90.00 90.00 90.00
Positions (direct):
Mo (0.1737, 0.6737, 0.5000)
Mo (0.6737, 0.8263, 0.5000)
Mo (0.8263, 0.3263, 0.5000)
Mo (0.3263, 0.1737, 0.5000)
Ge (0.0000, 0.0000, 0.0000)
Ge (0.5000, 0.5000, 0.0000)
Al (0.3704, 0.8704, 0.0000)
Al (0.8704, 0.6296, 0.0000)
Al (0.6296, 0.1296, 0.0000)
Al (0.1296, 0.3704, 0.0000)

***

three.
Al2GeMo2: optimized geometry, PBE.

## Properties
As for the symmetry: I4/mmm (139). The density of states at the Fermi level is 2.8 states/eV/cell.

abc: 3.6990 3.6990 7.0583
angles: 74.81 74.81 90.00
Positions (direct):
Mo (0.7500, 0.2500, 0.5000)
Mo (0.2500, 0.7500, 0.5000)
Ge (0.0000, 0.0000, 0.0000)
Al (0.4023, 0.4023, 0.1955)
Al (0.5977, 0.5977, 0.8045)

***

Stability order, top to bottom: one, two, three

***

one.
AlGeN2: optimized geometry, PBE.

## Properties
As for the symmetry: R-3m (166). The density of states at the Fermi level is 1.8 states/eV/cell.

abc: 5.8553 5.8553 5.8553
angles: 30.31 30.31 30.31
Positions (direct):
Ge (0.0000, 0.0000, 0.0000)
Al (0.5000, 0.5000, 0.5000)
N (0.8925, 0.8925, 0.8925)
N (0.1075, 0.1075, 0.1075)

***

two.
AlGeN2: optimized geometry, PBE.

## Properties
As for the symmetry: R-3m (166). The density of states at the Fermi level is 2.0 states/eV/cell.

abc: 6.0169 6.0169 6.0169
angles: 29.38 29.38 29.38
Positions (direct):
Ge (0.5000, 0.5000, 0.5000)
Al (0.0000, 0.0000, 0.0000)
N (0.8930, 0.8930, 0.8930)
N (0.1070, 0.1070, 0.1070)

***

Stability order, top to bottom: one, two

***

one.
AlGeN2: optimized geometry, PBE.

## Properties
As for the symmetry: Fm-3m (225). The density of states at the Fermi level is 1.9 states/eV/cell.

abc: 3.8452 3.8452 3.8452
angles: 60.00 60.00 60.00
Positions (direct):
Ge (0.5000, 0.5000, 0.5000)
Al (0.0000, 0.0000, 0.0000)
N (0.2500, 0.2500, 0.2500)
N (0.7500, 0.7500, 0.7500)

***

two.
AlGeN2: optimized geometry, PBE.

## Properties
As for the symmetry: I-42d (122). The density of states at the Fermi level is 4.0 states/eV/cell.

abc: 4.5722 4.5722 5.6240
angles: 66.02 66.02 90.00
Positions (direct):
Ge (0.0000, 0.0000, 0.0000)
Ge (0.7500, 0.2500, 0.5000)
Al (0.5000, 0.5000, 0.0000)
Al (0.2500, 0.7500, 0.5000)
N (0.6032, 0.1250, 0.2500)
N (0.1468, 0.6250, 0.2500)
N (0.3750, 0.3968, 0.7500)
N (0.8750, 0.8532, 0.7500)

***

Stability order, top to bottom: two, one

***

one.
AlGe2N: optimized geometry, PBE.

## Properties
As for the symmetry: I-42d (122). The density of states at the Fermi level is 0.0 states/eV/cell.

abc: 5.3651 5.3651 6.1775
angles: 64.26 64.26 90.00
Positions (direct):
Ge (0.5567, 0.1250, 0.2500)
Ge (0.1933, 0.6250, 0.2500)
Ge (0.3750, 0.4433, 0.7500)
Ge (0.8750, 0.8067, 0.7500)
Al (0.0000, 0.0000, 0.0000)
Al (0.7500, 0.2500, 0.5000)
N (0.5000, 0.5000, 0.0000)
N (0.2500, 0.7500, 0.5000)

***

two.
AlGe2N: optimized geometry, PBE.

## Properties
As for the symmetry: Fm-3m (225). The density of states at the Fermi level is 2.9 states/eV/cell.

abc: 4.4289 4.4289 4.4289
angles: 60.00 60.00 60.00
Positions (direct):
Ge (0.2500, 0.2500, 0.2500)
Ge (0.7500, 0.7500, 0.7500)
Al (0.5000, 0.5000, 0.5000)
N (0.0000, 0.0000, 0.0000)

***

Stability order, top to bottom: one, two